[1]
{
  "formula": "Y2Tl2Sn",
  "functional": "PBE",
  "state": "relaxed",
  "lattice": [[7.8502, 0.0000, 0.0000], [0.0000, 7.8502, 0.0000], [0.0000, 0.0000, 4.5447]],
  "species": ["Sn", "Sn", "Tl", "Tl", "Tl", "Tl", "Y", "Y", "Y", "Y"],
  "frac_coords": [[0.0000, 0.0000, 0.0000], [0.5000, 0.5000, 0.0000], [0.8661, 0.6339, 0.0000], [0.1339, 0.3661, 0.0000], [0.6339, 0.1339, 0.0000], [0.3661, 0.8661, 0.0000], [0.1697, 0.6697, 0.5000], [0.3303, 0.1697, 0.5000], [0.8303, 0.3303, 0.5000], [0.6697, 0.8303, 0.5000]],
  "relative_energy_ev_per_atom": 0.0000,
  "magnetic_moment_mub_per_atom": 0.00,
  "crystal_system": "tetragonal",
  "energy_ev_per_atom": -4.668,
  "formation_energy_ev_per_atom": -0.33
}

---

[2]
{
  "formula": "ReSbBr2",
  "functional": "PBE",
  "state": "relaxed",
  "lattice": [[-1.5860, -1.2073, 12.7772], [-0.4764, -4.0547, 12.2704], [1.4731, -1.6928, 12.7356]],
  "species": ["Br", "Br", "Re", "Sb"],
  "frac_coords": [[0.0619, 0.0619, 0.0619], [0.9381, 0.9381, 0.9381], [0.0000, 0.0000, 0.0000], [0.5000, 0.5000, 0.5000]],
  "relative_energy_ev_per_atom": 0.3647,
  "magnetic_moment_mub_per_atom": 0.00,
  "crystal_system": "trigonal",
  "formation_energy_uncorrected_ev_per_atom": 0.604,
  "energy_ev_per_atom": -4.375
}

---

[3]
{
  "formula": "Tb6HoTm3Th2",
  "functional": "PBE",
  "state": "relaxed",
  "lattice": [[-2.3883, 2.6899, 4.9741], [2.9423, -5.3612, 0.5309], [9.7760, 6.5280, -0.1003]],
  "species": ["Tb", "Tb", "Tb", "Tb", "Tb", "Tb", "Tm", "Tm", "Tm", "Th", "Th", "Ho"],
  "frac_coords": [[0.5801, 0.9161, 0.7505], [0.9161, 0.5801, 0.7505], [0.2528, 0.2528, 0.7504], [0.0839, 0.4199, 0.2495], [0.7472, 0.7472, 0.2496], [0.4199, 0.0839, 0.2495], [0.5000, 0.5000, 0.5000], [0.1664, 0.8336, 0.5000], [0.8336, 0.1664, 0.5000], [0.3333, 0.6667, 0.0000], [0.6667, 0.3333, 0.0000], [0.0000, 0.0000, 0.0000]],
  "magnetic_moment_mub_per_atom": 0.00,
  "crystal_system": "monoclinic",
  "energy_ev_per_atom": -5.022,
  "formation_energy_ev_per_atom": 0.03
}

---

[4]
{
  "formula": "Pt4BrCl",
  "functional": "PBE",
  "state": "relaxed",
  "lattice": [[0.0000, 3.8358, 3.8358], [3.8358, 0.0000, 3.8358], [3.8358, 3.8358, 0.0000]],
  "species": ["Pt", "Pt", "Pt", "Pt", "Cl", "Br"],
  "frac_coords": [[0.3748, 0.3748, 0.8755], [0.8755, 0.3748, 0.3748], [0.3748, 0.3748, 0.3748], [0.3748, 0.8755, 0.3748], [0.0000, 0.0000, 0.0000], [0.7500, 0.7500, 0.7500]],
  "magnetic_moment_mub_per_atom": 0.00,
  "crystal_system": "cubic",
  "formation_energy_uncorrected_ev_per_atom": 0.751,
  "energy_ev_per_atom": -3.863
}